Density functional theory data (PBE) for a geometry-optimized Mn2TcRh structure.

```
4
Lattice="-0.869 -0.972 -4.343 3.568 -2.478 1.298 -1.627 -1.943 0.760" Properties=species:S:1:pos:R:3 pbc="T T T"
Tc 0.971 -2.211 1.029
Mn 0.000 0.000 0.000
Mn 1.349 -1.725 -1.522
Rh -1.248 -1.458 -1.791
```

## Properties
**M_tot**: 2.61 μB per cell
**Space-group type**: Cmmm, No. 65
**Calculated formation energy**: 0.052 eV per atom
**Calculated density**: 9.97 g/cm3